(1)
A PBEsol-optimized structure of HfInCl2. Source: Alexandria via LeMat-Bulk, functional SCAN.

Computed properties:
Polymorph energy (0 for the lowest one)   0.0000 eV/atom
Formation energy (no corrections)   -4.19 eV/f.u.
Total moment   0.0 μB/cell

```
HfInCl2
1.0
-0.640 0.098 3.144
0.355 -2.639 1.793
9.430 1.696 3.505
Cl Hf In
2 1 1
direct
0.893 0.893 0.321 Cl
0.107 0.107 0.679 Cl
0.500 0.500 0.500 Hf
0.000 0.000 0.000 In
```

(2)
A PBEsol-optimized structure of HfInP2Cl. Source: Alexandria via LeMat-Bulk, functional SCAN.

Computed properties:
Formation energy (no corrections)   -1.79 eV/f.u.
Total moment   0.0 μB/cell

```
HfInP2Cl
1.0
4.975 0.000 0.000
0.000 4.975 0.000
0.000 0.000 4.917
Cl In P Hf
1 1 2 1
direct
0.000 0.000 0.500 Cl
0.500 0.500 0.500 In
0.500 0.000 0.000 P
0.000 0.500 0.000 P
0.000 0.000 0.000 Hf
```

(3)
A PBEsol-optimized structure of HfIrCl3. Source: Alexandria via LeMat-Bulk, functional SCAN.

Computed properties:
Formation energy (no corrections)   0.37 eV/f.u.
Total moment   2.8 μB/cell

```
HfIrCl3
1.0
-4.468 -1.247 -1.450
-0.576 -2.637 4.043
-1.824 3.888 2.276
Cl Ir Hf
3 1 1
direct
0.000 0.000 0.500 Cl
0.500 0.000 0.000 Cl
0.000 0.500 0.000 Cl
0.500 0.500 0.500 Ir
0.000 0.000 0.000 Hf
```

(4)
A PBEsol-optimized structure of HfIr2PdCl. Source: Alexandria via LeMat-Bulk, functional SCAN.

Computed properties:
Formation energy (no corrections)   7.18 eV/f.u.
Total moment   0.7 μB/cell

```
HfIr2PdCl
1.0
4.712 0.000 0.000
0.000 4.712 0.000
0.000 0.000 4.903
Pd Ir Cl Hf
1 2 1 1
direct
0.000 0.000 0.000 Pd
0.000 0.500 0.000 Ir
0.500 0.000 0.000 Ir
0.500 0.500 0.500 Cl
0.000 0.000 0.500 Hf
```

(5)
A PBEsol-optimized structure of YHf2IrCl. Source: Alexandria via LeMat-Bulk, functional SCAN.

Computed properties:
Formation energy (no corrections)   -0.10 eV/f.u.
Total moment   0.0 μB/cell

```
YHf2IrCl
1.0
4.593 0.000 0.000
0.000 4.593 0.000
0.000 0.000 4.819
Cl Y Hf Ir
1 1 2 1
direct
0.000 0.000 0.000 Cl
0.000 0.000 0.500 Y
0.500 0.000 0.000 Hf
0.000 0.500 0.000 Hf
0.500 0.500 0.500 Ir
```

(6)
A PBEsol-optimized structure of KHfPCl2. Source: Alexandria via LeMat-Bulk, functional SCAN.

Computed properties:
Formation energy (no corrections)   2.95 eV/f.u.
Total moment   0.0 μB/cell

```
KHfPCl2
1.0
5.022 0.000 0.000
0.000 5.022 0.000
0.000 0.000 5.355
Cl Hf P K
2 1 1 1
direct
0.500 0.000 0.000 Cl
0.000 0.500 0.000 Cl
0.500 0.500 0.500 Hf
0.000 0.000 0.500 P
0.000 0.000 0.000 K
```